Entry from Alexandria via LeMat-Bulk: an optimized crystal structure of K4PAu (PBE).

```
6
Lattice="0.0000 4.5829 4.5829 4.5829 0.0000 4.5829 4.5829 4.5829 0.0000" Properties=species:S:1:pos:R:3 pbc="T T T"
K 1.1477 1.1477 1.1477
K 3.4352 3.4352 1.1477
K 3.4352 1.1477 3.4352
K 1.1477 3.4352 3.4352
P 6.8743 6.8743 6.8743
Au 4.5829 4.5829 4.5829
```

Results
- space-group type = F-43m
- total magnetic moment (μB/f.u.) = 0.00
- energy relative to the elements (eV per formula unit) = 2.23